1.
# TiAs2SeCl (PBE-GGA, optimized geometry)
data_TiAs2SeCl
_chemical_formula_sum 'Ti1 As2 Se1 Cl1'
_cell_length_a 4.9587
_cell_length_b 4.9587
_cell_length_c 4.7996
_cell_angle_alpha 90.00
_cell_angle_beta 90.00
_cell_angle_gamma 90.00
_space_group_name_H-M_alt 'P 4/m m m'
_space_group_IT_number 123
_space_group_name_Hall '-P 4 2'
loop_
_atom_site_label
_atom_site_fract_x
_atom_site_fract_y
_atom_site_fract_z
Ti1 0.0000 0.0000 0.0000
As1 0.0000 0.5000 0.0000
Se1 0.0000 0.0000 0.5000
Cl1 0.5000 0.5000 0.5000
# total DFT energy (no corrections)	-4.556	eV/atom
# offset from the most stable computed form	0	meV per atom
# formation energy (no corrections)	-51	meV/atom
# density	4.4	Mg/m³



2.
# TiAsSe2Cl (PBE-GGA, optimized geometry)
data_TiAsSe2Cl
_chemical_formula_sum 'Ti1 As1 Se2 Cl1'
_cell_length_a 4.8283
_cell_length_b 4.8283
_cell_length_c 5.1303
_cell_angle_alpha 90.00
_cell_angle_beta 90.00
_cell_angle_gamma 90.00
_space_group_name_H-M_alt 'P 4/m m m'
_space_group_IT_number 123
_space_group_name_Hall '-P 4 2'
loop_
_atom_site_label
_atom_site_fract_x
_atom_site_fract_y
_atom_site_fract_z
Ti1 0.0000 0.0000 0.0000
As1 0.0000 0.0000 0.5000
Se1 0.0000 0.5000 0.0000
Cl1 0.5000 0.5000 0.5000
# total DFT energy (no corrections)	-4.421	eV/atom
# offset from the most stable computed form	0	meV per atom
# formation energy (no corrections)	-149	meV/atom
# density	4.4	Mg/m³



3.
# TiAsSe2Cl (PBE-GGA, optimized geometry)
data_TiAsSe2Cl
_chemical_formula_sum 'Ti1 As1 Se2 Cl1'
_cell_length_a 4.9572
_cell_length_b 4.9572
_cell_length_c 4.7012
_cell_angle_alpha 90.00
_cell_angle_beta 90.00
_cell_angle_gamma 90.00
_space_group_name_H-M_alt 'P 4/m m m'
_space_group_IT_number 123
_space_group_name_Hall '-P 4 2'
loop_
_atom_site_label
_atom_site_fract_x
_atom_site_fract_y
_atom_site_fract_z
Ti1 0.0000 0.0000 0.0000
As1 0.5000 0.5000 0.0000
Se1 0.0000 0.5000 0.5000
Cl1 0.5000 0.5000 0.5000
# total DFT energy (no corrections)	-3.405	eV/atom
# offset from the most stable computed form	1017	meV per atom
# formation energy (no corrections)	867	meV/atom
# density	4.5	Mg/m³